(1)
Material: K2ZrHF7
Method: DFT, PBE
State: optimized geometry

a b c (Å): 8.693 13.587 11.700
angles (deg): 90.00 90.00 90.00
Atoms (fractional coordinates):
K  0.114  0.106  0.068
K  0.114  0.394  0.568
K  0.151  0.669  0.741
K  0.151  0.831  0.241
K  0.349  0.169  0.741
K  0.349  0.331  0.241
K  0.386  0.606  0.068
K  0.386  0.894  0.568
K  0.614  0.106  0.432
K  0.614  0.394  0.932
K  0.651  0.669  0.759
K  0.651  0.831  0.259
K  0.849  0.169  0.759
K  0.849  0.331  0.259
K  0.886  0.606  0.432
K  0.886  0.894  0.932
Zr  0.095  0.119  0.461
Zr  0.095  0.381  0.961
Zr  0.405  0.619  0.461
Zr  0.405  0.881  0.961
Zr  0.595  0.119  0.039
Zr  0.595  0.381  0.539
Zr  0.905  0.619  0.039
Zr  0.905  0.881  0.539
H  0.176  0.519  0.308
H  0.176  0.981  0.808
H  0.324  0.019  0.308
H  0.324  0.481  0.808
H  0.676  0.519  0.192
H  0.676  0.981  0.692
H  0.824  0.019  0.192
H  0.824  0.481  0.692
F  0.075  0.201  0.608
F  0.075  0.299  0.108
F  0.081  0.544  0.936
F  0.081  0.956  0.436
F  0.091  0.031  0.817
F  0.091  0.469  0.317
F  0.096  0.655  0.129
F  0.096  0.845  0.629
F  0.174  0.247  0.908
F  0.174  0.253  0.408
F  0.195  0.581  0.531
F  0.195  0.919  0.031
F  0.204  0.084  0.302
F  0.204  0.416  0.802
F  0.296  0.584  0.302
F  0.296  0.916  0.802
F  0.305  0.081  0.531
F  0.305  0.419  0.031
F  0.326  0.747  0.908
F  0.326  0.753  0.408
F  0.404  0.155  0.129
F  0.404  0.345  0.629
F  0.409  0.531  0.817
F  0.409  0.969  0.317
F  0.419  0.044  0.936
F  0.419  0.456  0.436
F  0.425  0.701  0.608
F  0.425  0.799  0.108
F  0.575  0.201  0.892
F  0.575  0.299  0.392
F  0.581  0.544  0.564
F  0.581  0.956  0.064
F  0.591  0.031  0.683
F  0.591  0.469  0.183
F  0.596  0.655  0.371
F  0.596  0.845  0.871
F  0.674  0.247  0.592
F  0.674  0.253  0.092
F  0.695  0.581  0.969
F  0.695  0.919  0.469
F  0.704  0.084  0.198
F  0.704  0.416  0.698
F  0.796  0.584  0.198
F  0.796  0.916  0.698
F  0.805  0.081  0.969
F  0.805  0.419  0.469
F  0.826  0.747  0.592
F  0.826  0.753  0.092
F  0.904  0.155  0.371
F  0.904  0.345  0.871
F  0.909  0.531  0.683
F  0.909  0.969  0.183
F  0.919  0.044  0.564
F  0.919  0.456  0.064
F  0.925  0.701  0.892
F  0.925  0.799  0.392

Summary:
The value obtained for the total magnetic moment is 0.8 μB per cell. The density of states at the Fermi level is 0.00 states/eV/f.u. The total energy is -489.4 eV per cell.

---

(2)
Material: ScMoBr2
Method: DFT, PBE
State: optimized geometry

a b c (Å): 4.652 4.652 3.376
angles (deg): 90.00 90.00 90.00
Atoms (fractional coordinates):
Sc  0.000  0.000  0.000
Mo  0.500  0.500  0.000
Br  0.000  0.500  0.500
Br  0.500  0.000  0.500

Summary:
The value obtained for the formation energy (no corrections) is 0.1806 eV per atom. The polymorph energy (0 for the lowest one) comes out at 0.5392 eV per atom. The value obtained for the total magnetic moment is 0.7 μB per cell. The density of states at the Fermi level is 4.51 states/eV/f.u.

---

(3)
Material: FeNiRu2
Method: DFT, PBE
State: optimized geometry

a b c (Å): 3.670 3.670 7.528
angles (deg): 90.00 90.00 90.00
Atoms (fractional coordinates):
Fe  0.000  0.000  0.000
Fe  0.500  0.500  0.500
Ni  0.000  0.500  0.750
Ni  0.500  0.000  0.250
Ru  0.000  0.000  0.500
Ru  0.000  0.500  0.250
Ru  0.500  0.000  0.750
Ru  0.500  0.500  0.000

Summary:
The calculation puts the energy of formation at 78 meV per atom. The value obtained for the total magnetic moment is 5.6 μB per cell. The density of states at the Fermi level is 3.77 states/eV/f.u.

---

(4)
Material: KZrSb2
Method: DFT, PBE
State: optimized geometry

a b c (Å): 4.453 4.453 10.735
angles (deg): 90.00 90.00 90.00
Atoms (fractional coordinates):
K  0.000  0.000  0.000
K  0.500  0.500  0.500
Zr  0.000  0.500  0.250
Zr  0.500  0.000  0.750
Sb  0.000  0.000  0.500
Sb  0.000  0.500  0.750
Sb  0.500  0.000  0.250
Sb  0.500  0.500  0.000

Summary:
The value obtained for the formation energy (no corrections) is -0.0221 eV per atom. The polymorph energy (0 for the lowest one) comes out at 0.4747 eV per atom. The value obtained for the total magnetic moment is 0.0 μB per cell. The density of states at the Fermi level is 1.61 states/eV/f.u.

---

(5)
Material: RbLaTa2O7
Method: DFT, PBE
State: optimized geometry

a b c (Å): 3.914 3.914 11.378
angles (deg): 90.00 90.00 90.00
Atoms (fractional coordinates):
Rb  0.000  0.000  0.000
La  0.000  0.000  0.500
Ta  0.500  0.500  0.299
Ta  0.500  0.500  0.701
O  0.000  0.500  0.336
O  0.000  0.500  0.664
O  0.500  0.000  0.336
O  0.500  0.000  0.664
O  0.500  0.500  0.140
O  0.500  0.500  0.500
O  0.500  0.500  0.860

Summary:
The value obtained for the formation energy (no corrections) is -2.9426 eV per atom. The value obtained for the total magnetic moment is 0.0 μB per cell. The density of states at the Fermi level is 0.00 states/eV/f.u.

---

(6)
Material: LiTlMoBr6
Method: DFT, PBE
State: optimized geometry

a b c (Å): 6.948 6.948 14.193
angles (deg): 90.00 90.00 120.00
Atoms (fractional coordinates):
Li  0.333  0.667  0.250
Li  0.667  0.333  0.750
Tl  0.000  0.000  0.000
Tl  0.000  0.000  0.500
Mo  0.333  0.667  0.750
Mo  0.667  0.333  0.250
Br  0.019  0.382  0.645
Br  0.019  0.637  0.855
Br  0.363  0.382  0.855
Br  0.363  0.981  0.645
Br  0.382  0.019  0.145
Br  0.382  0.363  0.355
Br  0.618  0.637  0.645
Br  0.618  0.981  0.855
Br  0.637  0.019  0.355
Br  0.637  0.618  0.145
Br  0.981  0.363  0.145
Br  0.981  0.618  0.355

Summary:
The value obtained for the formation energy (no corrections) is -0.7998 eV per atom. The value obtained for the total magnetic moment is 4.0 μB per cell. The density of states at the Fermi level is 7.42 states/eV/f.u.

---

(7)
Material: Rb3Pd2Br7
Method: DFT, PBE
State: optimized geometry

a b c (Å): 14.233 14.233 14.233
angles (deg): 158.51 158.51 30.57
Atoms (fractional coordinates):
Rb  0.000  0.000  0.000
Rb  0.180  0.180  0.000
Rb  0.820  0.820  0.000
Pd  0.404  0.404  0.000
Pd  0.596  0.596  0.000
Br  0.094  0.594  0.500
Br  0.309  0.309  0.000
Br  0.406  0.906  0.500
Br  0.500  0.500  0.000
Br  0.594  0.094  0.500
Br  0.691  0.691  0.000
Br  0.906  0.406  0.500

Summary:
The value obtained for the formation energy (no corrections) is -1.0294 eV per atom. The value obtained for the total magnetic moment is 0.0 μB per cell. The density of states at the Fermi level is 2.36 states/eV/f.u.

---

(8)
Material: K8Ag2Hg
Method: DFT, PBE
State: optimized geometry

a b c (Å): 10.496 10.496 10.496
angles (deg): 148.04 123.05 66.81
Atoms (fractional coordinates):
K  0.123  0.339  0.784
K  0.143  0.143  0.000
K  0.316  0.000  0.316
K  0.445  0.661  0.784
K  0.555  0.339  0.216
K  0.684  0.000  0.684
K  0.857  0.857  0.000
K  0.877  0.661  0.216
Ag  0.308  0.808  0.500
Ag  0.692  0.192  0.500
Hg  0.000  0.500  0.500

Summary:
The calculation puts the energy of formation at 10 meV per atom. The value obtained for the total magnetic moment is 0.0 μB per cell. The density of states at the Fermi level is 4.57 states/eV/f.u.

---

(9)
Material: Ga2Ni2Rh3
Method: DFT, PBE
State: optimized geometry

a b c (Å): 4.228 4.231 6.880
angles (deg): 90.00 72.16 60.04
Atoms (fractional coordinates):
Ga  0.201  0.399  0.200
Ga  0.799  0.601  0.800
Ni  0.266  0.869  0.602
Ni  0.734  0.131  0.398
Rh  0.000  0.000  0.000
Rh  0.482  0.259  0.776
Rh  0.518  0.741  0.224

Summary:
The calculation puts the energy of formation at -200 meV per atom. The value obtained for the total magnetic moment is 0.0 μB per cell. The density of states at the Fermi level is 8.30 states/eV/f.u.

---

(10)
Material: Li2AsW
Method: DFT, PBE
State: optimized geometry

a b c (Å): 3.095 4.141 4.646
angles (deg): 90.00 90.00 90.00
Atoms (fractional coordinates):
Li  0.000  0.000  0.000
Li  0.500  0.500  0.000
As  0.000  0.500  0.500
W  0.500  0.000  0.500

Summary:
The calculation puts the energy of formation at 150 meV per atom. The value obtained for the total magnetic moment is 0.0 μB per cell. The density of states at the Fermi level is 2.31 states/eV/f.u.

---

(11)
Material: UPd6Au3
Method: DFT, PBE
State: optimized geometry

a b c (Å): 5.383 5.383 7.154
angles (deg): 90.00 90.00 120.00
Atoms (fractional coordinates):
U  0.000  0.000  0.000
Pd  0.000  0.416  0.817
Pd  0.000  0.584  0.183
Pd  0.416  0.000  0.817
Pd  0.416  0.416  0.183
Pd  0.584  0.000  0.183
Pd  0.584  0.584  0.817
Au  0.000  0.000  0.500
Au  0.333  0.667  0.500
Au  0.667  0.333  0.500

Summary:
The calculation puts the energy of formation at -178 meV per atom. The polymorph energy (0 for the lowest one) comes out at 0.0000 eV per atom. The value obtained for the total magnetic moment is 0.8 μB per cell. The density of states at the Fermi level is 6.61 states/eV/f.u.

---

(12)
Material: MgCoP2
Method: DFT, PBE
State: optimized geometry

a b c (Å): 3.038 3.038 21.834
angles (deg): 90.00 90.00 120.00
Atoms (fractional coordinates):
Mg  0.000  0.000  0.000
Mg  0.333  0.667  0.667
Mg  0.667  0.333  0.333
Co  0.000  0.000  0.762
Co  0.333  0.667  0.429
Co  0.667  0.333  0.095
P  0.000  0.000  0.236
P  0.000  0.000  0.488
P  0.333  0.667  0.155
P  0.333  0.667  0.902
P  0.667  0.333  0.569
P  0.667  0.333  0.822

Summary:
The calculation puts the energy of formation at 25 meV per atom. The value obtained for the total magnetic moment is 0.2 μB per cell. The density of states at the Fermi level is 2.83 states/eV/f.u.